# YHo2Tl2Hg2 | Alexandria | PBE | relaxed
# Total energy in eV per cell: -66.64
data_YHo2Tl2Hg2
_chemical_formula_sum 'Y3 Ho6 Tl6 Hg6'
_symmetry_space_group_name_H-M 'R -3 m'
_symmetry_Int_Tables_number 166
_symmetry_space_group_name_Hall '-R 3 2"'
_cell_length_a 4.9812
_cell_length_b 4.9812
_cell_length_c 26.5128
_cell_angle_alpha 90.00
_cell_angle_beta 90.00
_cell_angle_gamma 120.00
loop_
_atom_site_label
_atom_site_type_symbol
_atom_site_fract_x
_atom_site_fract_y
_atom_site_fract_z
Y1 Y 0.0000 0.0000 0.0000
Ho1 Ho 0.0000 0.0000 0.1327
Tl1 Tl 0.0000 0.0000 0.2730
Hg1 Hg 0.0000 0.0000 0.4357



# Ho7Er3In | Alexandria | PBE | relaxed
# Total energy in eV per cell: -47.13
data_Ho7Er3In
_chemical_formula_sum 'Ho7 Er3 In1'
_symmetry_space_group_name_H-M 'P 3 m 1'
_symmetry_Int_Tables_number 156
_cell_length_a 6.9080
_cell_length_b 6.9080
_cell_length_c 8.4356
_cell_angle_alpha 90.00
_cell_angle_beta 90.00
_cell_angle_gamma 120.00
loop_
_symmetry_equiv_pos_as_xyz
'x,y,z'
'-y,x-y,z'
'-x+y,-x,z'
'-y,-x,z'
'-x+y,y,z'
'x,x-y,z'
loop_
_atom_site_label
_atom_site_type_symbol
_atom_site_fract_x
_atom_site_fract_y
_atom_site_fract_z
Ho1 Ho 0.0000 0.0000 0.0000
Ho2 Ho 0.1637 0.3274 0.6643
Ho3 Ho 0.5014 0.0029 0.9892
Er1 Er 0.3319 0.1659 0.3282
In1 In 0.6667 0.3333 0.6608



# TbPuGaSn | Alexandria | PBE | relaxed
# Total energy in eV per cell: -110.47
data_TbPuGaSn
_chemical_formula_sum 'Tb4 Pu4 Ga4 Sn4'
_symmetry_space_group_name_H-M 'F -4 3 m'
_symmetry_Int_Tables_number 216
_symmetry_space_group_name_Hall 'F -4 2 3'
_cell_length_a 7.392
_cell_length_b 7.392
_cell_length_c 7.392
_cell_angle_alpha 90.00
_cell_angle_beta 90.00
_cell_angle_gamma 90.00
loop_
_atom_site_label
_atom_site_type_symbol
_atom_site_fract_x
_atom_site_fract_y
_atom_site_fract_z
Tb1 Tb 0.000 0.000 0.000
Pu1 Pu 0.000 0.000 0.500
Ga1 Ga 0.250 0.250 0.750
Sn1 Sn 0.250 0.250 0.250



Formation energy from the elements, respectively: -121 129 -157 kJ/mol of formula units.